Entry from the Alexandria database: crystalline Eu2RhO at its relaxed geometry (PBE).

a b c (Å): 3.2246 3.2246 7.0511
angles (deg): 90.00 90.00 90.00
With the nearest neighbours (Å) after each atom.
Fractional coordinates of all 4 atoms:
1 Rh 0.5000 0.5000 0.5000  8 Eu 3.03, 4 Rh 3.22
2 O 0.5000 0.5000 0.0000  8 Eu 2.75
3 Eu 0.0000 0.0000 0.2169  4 O 2.75, 4 Rh 3.03, 1 Eu 3.06
4 Eu 0.0000 0.0000 0.7831  4 O 2.75, 4 Rh 3.03, 1 Eu 3.06

calculated density	9.58	Mg/m³

---

Entry from the Alexandria database: crystalline Zn2CuAs at its relaxed geometry (PBE).

a b c (Å): 8.0359 8.0359 8.0359
angles (deg): 21.94 21.94 21.94
With the nearest neighbours (Å) after each atom.
Fractional coordinates of all 4 atoms:
1 Zn 0.2523 0.2523 0.2523  3 Zn 2.65, 3 As 2.77
2 Zn 0.0027 0.0027 0.0027  3 Cu 2.59, 3 Zn 2.65
3 As 0.4947 0.4947 0.4947  3 Cu 2.54, 3 Zn 2.77
4 Cu 0.7502 0.7502 0.7502  3 As 2.54, 3 Zn 2.59

calculated density	7.04	Mg/m³
DFT formation energy	136	meV per atom

---

Entry from the Alexandria database: crystalline Dy2Ho3TmAs6 at its relaxed geometry (PBE).

a b c (Å): 4.1006 8.1977 9.1658
angles (deg): 102.90 102.93 90.00
With the nearest neighbours (Å) after each atom.
Fractional coordinates of all 12 atoms:
1 Tm 0.5000 0.0000 0.0000  6 As 2.89
2 Ho 0.5000 0.5000 0.0000  6 As 2.89-2.91
3 Ho 0.1669 0.8335 0.3337  6 As 2.89-2.91
4 Ho 0.8331 0.1665 0.6663  6 As 2.89-2.91
5 Dy 0.1664 0.3328 0.3327  6 As 2.90-2.91
6 Dy 0.8336 0.6672 0.6673  6 As 2.90-2.91
7 As 0.6660 0.0820 0.3319  1 Tm 2.89, 3 Ho 2.89-2.91, 2 Dy 2.90
8 As 0.9995 0.2480 0.9991  2 Tm 2.89, 3 Ho 2.89-2.91, 1 Dy 2.90
9 As 0.3340 0.9180 0.6681  1 Tm 2.89, 3 Ho 2.89-2.91, 2 Dy 2.90
10 As 0.6664 0.5839 0.3328  3 Ho 2.89-2.90, 3 Dy 2.90-2.91
11 As 0.0005 0.7520 0.0009  2 Tm 2.89, 3 Ho 2.89-2.91, 1 Dy 2.90
12 As 0.3336 0.4161 0.6672  3 Ho 2.89-2.90, 3 Dy 2.90-2.91

calculated density	8.17	Mg/m³
DFT formation energy	-1527	meV per atom

---

Entry from the Alexandria database: crystalline AcPrNdIn at its relaxed geometry (PBE).

a b c (Å): 5.7394 5.7394 5.7394
angles (deg): 60.00 60.00 60.00
With the nearest neighbours (Å) after each atom.
Fractional coordinates of all 4 atoms:
1 Ac 0.7500 0.7500 0.7500  4 Pr 3.51, 4 Nd 3.51
2 In 0.2500 0.2500 0.2500  4 Pr 3.51, 4 Nd 3.51
3 Pr 0.0000 0.0000 0.0000  4 Ac 3.51, 4 In 3.51
4 Nd 0.5000 0.5000 0.5000  4 In 3.51, 4 Ac 3.51

calculated density	7.79	Mg/m³
DFT formation energy	-95	meV per atom

---

| no. | total DFT energy (no corrections) (Ry/atom) |
| --- | --- |
| 1 | -0.6948 |
| 2 | -0.1975 |
| 3 | -0.4510 |
| 4 | -0.3083 |